An optimized crystal structure of PrMg3Hg2, computed with PBE.

Properties
- M_tot (μB/f.u.) = 0.000
- DFT formation energy (eV/atom) = -0.2850
- final energy (hartree per atom) = -0.073

Cell and atoms, written as CIF:
```
data_PrMg3Hg2
_space_group_name_H-M_alt 'C 1 2/m 1'
_space_group_IT_number 12
_space_group_name_Hall '-C 2y'
_cell_length_a 16.899
_cell_length_b 4.785
_cell_length_c 7.864
_cell_angle_alpha 90.00
_cell_angle_beta 112.37
_cell_angle_gamma 90.00
loop_
_atom_site_label
_atom_site_type_symbol
_atom_site_fract_x
_atom_site_fract_y
_atom_site_fract_z
Pr1 Pr 0.124 0.000 0.192
Mg1 Mg 0.065 0.000 0.703
Mg2 Mg 0.131 0.500 0.508
Mg3 Mg 0.193 0.500 0.926
Hg1 Hg 0.014 0.500 0.826
Hg2 Hg 0.230 0.000 0.675
```